Record 1
Entry from Alexandria: a geometry-optimized PrPuSe2 structure (PBE).

Unit cell a=4.078 b=4.078 c=22.164 alpha=90.00 beta=90.00 gamma=120.00
Atoms (fractional coordinates):
Pr 0.000 0.000 0.000
Pr 0.333 0.667 0.667
Pr 0.667 0.333 0.333
Pu 0.000 0.000 0.174
Pu 0.333 0.667 0.841
Pu 0.667 0.333 0.507
Se 0.000 0.000 0.582
Se 0.000 0.000 0.757
Se 0.333 0.667 0.249
Se 0.333 0.667 0.424
Se 0.667 0.333 0.091
Se 0.667 0.333 0.916

Computed properties:
crystal system: trigonal
final energy: -8.145 eV/atom
polymorph energy (0 for the lowest one): 7.58 kJ/mol of atoms
density: 8.47 Mg/m³
N(E_F): 2.019 states/eV per atom
energy relative to the elements, uncorrected: -6.50 eV per formula unit
SG: R3m (160)

=====

Record 2
Entry from Alexandria: a geometry-optimized LiTbAgIr structure (PBE).

Unit cell a=6.700 b=6.700 c=6.700 alpha=90.00 beta=90.00 gamma=90.00
Atoms (fractional coordinates):
Li 0.000 0.000 0.000
Li 0.000 0.500 0.500
Li 0.500 0.000 0.500
Li 0.500 0.500 0.000
Tb 0.000 0.000 0.500
Tb 0.000 0.500 0.000
Tb 0.500 0.000 0.000
Tb 0.500 0.500 0.500
Ag 0.250 0.250 0.250
Ag 0.250 0.750 0.750
Ag 0.750 0.250 0.750
Ag 0.750 0.750 0.250
Ir 0.250 0.250 0.750
Ir 0.250 0.750 0.250
Ir 0.750 0.250 0.250
Ir 0.750 0.750 0.750

Computed properties:
crystal system: cubic
final energy: -4.878 eV/atom
calculated formation energy: -0.314 eV/atom
density: 10.29 Mg/m³
N(E_F): 0.217 states/eV per atom
SG: F-43m (216)

=====

Record 3
Entry from Alexandria: a geometry-optimized Ca2H2S2O9 structure (PBE).

Unit cell a=9.488 b=9.488 c=12.155 alpha=129.74 beta=129.74 gamma=43.40
Atoms (fractional coordinates):
Ca 0.000 0.000 0.000
Ca 0.322 0.002 0.447
Ca 0.501 0.499 0.500
Ca 0.542 0.128 0.072
Ca 0.872 0.458 0.928
Ca 0.998 0.678 0.553
H 0.106 0.362 0.681
H 0.188 0.162 0.701
H 0.398 0.550 0.916
H 0.450 0.602 0.084
H 0.638 0.894 0.319
H 0.838 0.812 0.299
S 0.102 0.725 0.190
S 0.256 0.250 0.253
S 0.275 0.898 0.810
S 0.589 0.253 0.694
S 0.747 0.411 0.306
S 0.750 0.744 0.747
O 0.059 0.298 0.116
O 0.096 0.877 0.180
O 0.123 0.904 0.820
O 0.181 0.204 0.641
O 0.203 0.127 0.855
O 0.203 0.500 0.085
O 0.216 0.442 0.392
O 0.221 0.736 0.351
O 0.264 0.779 0.649
O 0.314 0.064 0.264
O 0.340 0.660 0.000
O 0.352 0.396 0.664
O 0.440 0.192 0.241
O 0.500 0.797 0.915
O 0.558 0.784 0.608
O 0.604 0.648 0.336
O 0.645 0.025 0.599
O 0.662 0.316 0.662
O 0.684 0.338 0.338
O 0.702 0.941 0.884
O 0.706 0.278 0.860
O 0.722 0.294 0.140
O 0.796 0.819 0.359
O 0.808 0.560 0.759
O 0.873 0.797 0.145
O 0.936 0.686 0.736
O 0.975 0.355 0.401

Computed properties:
crystal system: monoclinic
final energy: -6.198 eV/atom
density: 2.65 Mg/m³
N(E_F): 0.000 states/eV per atom
SG: C2 (5)

=====

Record 4
Entry from Alexandria: a geometry-optimized Dy2SbTe structure (PBE).

Unit cell a=4.387 b=7.329 c=7.571 alpha=90.00 beta=90.00 gamma=90.00
Atoms (fractional coordinates):
Dy 0.250 0.001 0.241
Dy 0.250 0.499 0.241
Dy 0.750 0.501 0.759
Dy 0.750 0.999 0.759
Sb 0.250 0.750 0.914
Sb 0.750 0.250 0.086
Te 0.250 0.250 0.581
Te 0.750 0.750 0.419

Computed properties:
crystal system: orthorhombic
final energy: -5.336 eV/atom
polymorph energy (0 for the lowest one): 3.26 kJ/mol of atoms
density: 7.84 Mg/m³
N(E_F): 0.492 states/eV per atom
energy relative to the elements, uncorrected: -4.88 eV per formula unit
SG: Pmmn (59)

=====

Record 5
Entry from Alexandria: a geometry-optimized CaAg4Au4 structure (PBE).

Unit cell a=6.640 b=6.640 c=6.640 alpha=96.05 beta=96.05 gamma=142.10
Atoms (fractional coordinates):
Ca 0.000 0.000 0.000
Ag 0.000 0.339 0.339
Ag 0.000 0.661 0.661
Ag 0.339 0.000 0.339
Ag 0.661 0.000 0.661
Au 0.330 0.330 0.660
Au 0.330 0.670 0.000
Au 0.670 0.330 0.000
Au 0.670 0.670 0.340

Computed properties:
crystal system: tetragonal
final energy: -3.150 eV/atom
calculated formation energy: -0.204 eV/atom
density: 12.29 Mg/m³
N(E_F): 0.337 states/eV per atom
SG: I4/mmm (139)

=====

Record 6
Entry from Alexandria: a geometry-optimized AcPmGaSi structure (PBE).

Unit cell a=7.536 b=7.536 c=7.536 alpha=90.00 beta=90.00 gamma=90.00
Atoms (fractional coordinates):
Ac 0.000 0.000 0.000
Ac 0.000 0.500 0.500
Ac 0.500 0.000 0.500
Ac 0.500 0.500 0.000
Pm 0.000 0.000 0.500
Pm 0.000 0.500 0.000
Pm 0.500 0.000 0.000
Pm 0.500 0.500 0.500
Ga 0.250 0.250 0.750
Ga 0.250 0.750 0.250
Ga 0.750 0.250 0.250
Ga 0.750 0.750 0.750
Si 0.250 0.250 0.250
Si 0.250 0.750 0.750
Si 0.750 0.250 0.750
Si 0.750 0.750 0.250

Computed properties:
crystal system: cubic
final energy: -4.733 eV/atom
polymorph energy (0 for the lowest one): 20.57 kJ/mol of atoms
density: 7.29 Mg/m³
N(E_F): 0.501 states/eV per atom
energy relative to the elements, uncorrected: -1.62 eV per formula unit
SG: F-43m (216)

=====

Record 7
Entry from Alexandria: a geometry-optimized RbScCuTc2 structure (PBE).

Unit cell a=4.863 b=4.863 c=4.943 alpha=90.00 beta=90.00 gamma=90.00
Atoms (fractional coordinates):
Rb 0.000 0.000 0.000
Sc 0.500 0.500 0.000
Cu 0.500 0.500 0.500
Tc 0.000 0.500 0.500
Tc 0.500 0.000 0.500

Computed properties:
crystal system: tetragonal
final energy: -5.049 eV/atom
calculated formation energy: 1.377 eV/atom
density: 5.54 Mg/m³
N(E_F): 1.082 states/eV per atom
SG: P4/mmm (123)

=====

Record 8
Entry from Alexandria: a geometry-optimized CsRbScTe3 structure (PBE).

Unit cell a=9.480 b=9.480 c=7.788 alpha=96.96 beta=96.96 gamma=126.80
Atoms (fractional coordinates):
Cs 0.246 0.754 0.750
Cs 0.754 0.246 0.250
Rb 0.088 0.912 0.250
Rb 0.912 0.088 0.750
Sc 0.470 0.530 0.250
Sc 0.530 0.470 0.750
Te 0.222 0.350 0.481
Te 0.306 0.694 0.250
Te 0.350 0.222 0.981
Te 0.650 0.778 0.019
Te 0.694 0.306 0.750
Te 0.778 0.650 0.519

Computed properties:
crystal system: monoclinic
final energy: -3.953 eV/atom
density: 3.98 Mg/m³
N(E_F): 0.234 states/eV per atom
energy relative to the elements, uncorrected: -6.14 eV per formula unit
SG: C2/c (15)

=====

Record 9
Entry from Alexandria: a geometry-optimized La2HfAlCr structure (PBE).

Unit cell a=5.568 b=5.568 c=5.172 alpha=90.00 beta=90.00 gamma=90.00
Atoms (fractional coordinates):
La 0.000 0.500 0.000
La 0.500 0.000 0.000
Hf 0.000 0.000 0.000
Al 0.000 0.000 0.500
Cr 0.500 0.500 0.500

Computed properties:
crystal system: tetragonal
final energy: -5.209 eV/atom
calculated formation energy: 1.426 eV/atom
density: 5.54 Mg/m³
N(E_F): 2.108 states/eV per atom
SG: P4/mmm (123)

=====

Record 10
Entry from Alexandria: a geometry-optimized TbErSiPd structure (PBE).

Unit cell a=4.220 b=3.935 c=10.769 alpha=90.00 beta=90.00 gamma=90.00
Atoms (fractional coordinates):
Tb 0.000 0.000 0.000
Tb 0.000 0.500 0.500
Er 0.500 0.000 0.719
Er 0.500 0.500 0.219
Si 0.000 0.000 0.279
Si 0.000 0.500 0.779
Pd 0.500 0.000 0.432
Pd 0.500 0.500 0.932

Computed properties:
crystal system: orthorhombic
final energy: -5.794 eV/atom
polymorph energy (0 for the lowest one): 0.00 kJ/mol of atoms
density: 8.56 Mg/m³
N(E_F): 0.573 states/eV per atom
energy relative to the elements, uncorrected: -3.37 eV per formula unit
SG: Amm2 (38)

=====

Record 11
Entry from Alexandria: a geometry-optimized Nd2SmHo2Er structure (PBE).

Unit cell a=6.604 b=18.056 c=3.392 alpha=90.00 beta=90.00 gamma=90.00
Atoms (fractional coordinates):
Nd 0.230 0.186 0.000
Nd 0.270 0.686 0.500
Nd 0.730 0.314 0.500
Nd 0.770 0.814 0.000
Sm 0.000 0.500 0.000
Sm 0.500 0.000 0.500
Ho 0.228 0.354 0.500
Ho 0.272 0.854 0.000
Ho 0.728 0.146 0.000
Ho 0.772 0.646 0.500
Er 0.000 0.000 0.000
Er 0.500 0.500 0.500

Computed properties:
crystal system: orthorhombic
final energy: -4.398 eV/atom
calculated formation energy: 0.264 eV/atom
density: 7.69 Mg/m³
N(E_F): 1.653 states/eV per atom
SG: Pnnm (58)

=====

Record 12
Entry from Alexandria: a geometry-optimized LiPr2Si4Au3 structure (PBE).

Unit cell a=4.302 b=4.302 c=10.484 alpha=90.00 beta=90.00 gamma=90.00
Atoms (fractional coordinates):
Li 0.000 0.000 0.000
Pr 0.000 0.500 0.752
Pr 0.500 0.000 0.248
Si 0.000 0.000 0.500
Si 0.000 0.500 0.134
Si 0.500 0.000 0.866
Si 0.500 0.500 0.500
Au 0.000 0.500 0.372
Au 0.500 0.000 0.628
Au 0.500 0.500 0.000

Computed properties:
crystal system: tetragonal
final energy: -4.878 eV/atom
density: 8.49 Mg/m³
N(E_F): 0.184 states/eV per atom
energy relative to the elements, uncorrected: -5.78 eV per formula unit
SG: P-4m2 (115)